1.
# Na2Ac3Pb3

A geometry-optimized Na2Ac3Pb3 structure (GGA-PBE, the Alexandria database).

Calculated values
- DFT total energy: -3.6333 eV per atom
- Space group: No. 193
- Magnetic moment: 0.00 μB per formula unit
- Energy of formation: -0.3722 eV/atom
- Excess energy over the best structure of this formula in the dataset: 0 meV per atom

abc: 10.0854 10.0854 6.8600
angles: 90.00 90.00 120.00
Element x y z (fractional)
Na1 0.3333 0.6667 0.0000
Na2 0.3333 0.6667 0.5000
Na3 0.6667 0.3333 0.0000
Na4 0.6667 0.3333 0.5000
Ac1 0.0000 0.3024 0.2500
Ac2 0.0000 0.6976 0.7500
Ac3 0.3024 0.0000 0.2500
Ac4 0.3024 0.3024 0.7500
Ac5 0.6976 0.0000 0.7500
Ac6 0.6976 0.6976 0.2500
Pb1 0.0000 0.3609 0.7500
Pb2 0.0000 0.6391 0.2500
Pb3 0.3609 0.0000 0.7500
Pb4 0.3609 0.3609 0.2500
Pb5 0.6391 0.0000 0.2500
Pb6 0.6391 0.6391 0.7500

---

2.
# NaAcPb

A geometry-optimized NaAcPb structure (GGA-PBE, the Alexandria database).

Calculated values
- DFT total energy: -3.4191 eV per atom
- Space group: No. 129
- Magnetic moment: 0.01 μB per formula unit
- Energy of formation: -0.3738 eV/atom
- Excess energy over the best structure of this formula in the dataset: 21 meV per atom

abc: 4.8838 4.8838 8.8110
angles: 90.00 90.00 90.00
Element x y z (fractional)
Na1 0.2500 0.7500 0.0000
Na2 0.7500 0.2500 0.0000
Ac1 0.2500 0.2500 0.3488
Ac2 0.7500 0.7500 0.6512
Pb1 0.2500 0.2500 0.7374
Pb2 0.7500 0.7500 0.2626